# ZnTc2Rh

A PBEsol-optimized structure of ZnTc2Rh (SCAN, Alexandria).

Output
crystal system: tetragonal
ΔH_f (0 K): -85 meV/atom
E: -117.75 eV per cell
density of states at the Fermi level: 0.73 states/eV per atom

CIF file:
```
data_ZnTc2Rh
_cell_length_a 2.7510
_cell_length_b 2.7510
_cell_length_c 7.2046
_cell_angle_alpha 90.00
_cell_angle_beta 90.00
_cell_angle_gamma 90.00
_space_group_name_H-M_alt 'P 4 m m'
_space_group_IT_number 99
_space_group_name_Hall 'P 4 -2'
loop_
_atom_site_label
_atom_site_fract_x
_atom_site_fract_y
_atom_site_fract_z
Zn1 0.0000 0.0000 0.0000
Tc1 0.0000 0.0000 0.4943
Tc2 0.5000 0.5000 0.7400
Rh1 0.5000 0.5000 0.2404
```